1.
DFT (PBE) results for a relaxed TbSmY2Tm6 crystal.

Properties
electronic total energy	-4.78	eV per atom
space group	C2/c
calculated volume	631	Å³/cell
formation energy from the elements	0.13	eV/atom

a b c (Å): 8.7252 8.7252 9.4021
angles (deg): 93.31 93.31 117.45
Closest atoms and distances in Å follow each position.
Atoms (fractional coordinates):
Tb1 0.0902 0.9098 0.7500  8 Tm 3.41-3.81, 2 Y 3.51
Tb2 0.9098 0.0902 0.2500  8 Tm 3.41-3.81, 2 Y 3.51
Sm1 0.4719 0.5281 0.2500  4 Y 3.34-3.41, 4 Tm 3.52-3.67
Sm2 0.5281 0.4719 0.7500  4 Y 3.34-3.41, 4 Tm 3.52-3.67
Y1 0.1979 0.3020 0.9529  6 Tm 3.26-3.55, 2 Sm 3.34-3.41, 1 Tb 3.51
Y2 0.3020 0.1979 0.4529  6 Tm 3.26-3.55, 2 Sm 3.34-3.41, 1 Tb 3.51
Y3 0.6980 0.8021 0.5471  6 Tm 3.26-3.55, 2 Sm 3.34-3.41, 1 Tb 3.51
Y4 0.8021 0.6980 0.0471  6 Tm 3.26-3.55, 2 Sm 3.34-3.41, 1 Tb 3.51
Tm1 0.0129 0.7907 0.3835  4 Tm 3.16-3.45, 3 Y 3.26-3.42, 2 Tb 3.41-3.48
Tm2 0.0670 0.5193 0.1831  2 Tm 3.16-3.52, 1 Y 3.38, 1 Tb 3.45, 1 Sm 3.52
Tm3 0.2093 0.9871 0.1165  4 Tm 3.16-3.45, 3 Y 3.26-3.42, 2 Tb 3.41-3.48
Tm4 0.2521 0.6234 0.5584  7 Tm 3.37-3.68, 1 Y 3.47, 1 Sm 3.67
Tm5 0.3766 0.7479 0.9416  7 Tm 3.37-3.68, 1 Y 3.47, 1 Sm 3.67
Tm6 0.4807 0.9330 0.3169  2 Tm 3.16-3.52, 1 Y 3.38, 1 Tb 3.45, 1 Sm 3.52
Tm7 0.5193 0.0670 0.6831  2 Tm 3.16-3.52, 1 Y 3.38, 1 Tb 3.45, 1 Sm 3.52
Tm8 0.6234 0.2521 0.0584  7 Tm 3.37-3.68, 1 Y 3.47, 1 Sm 3.67
Tm9 0.7479 0.3766 0.4416  7 Tm 3.37-3.68, 1 Y 3.47, 1 Sm 3.67
Tm10 0.7907 0.0129 0.8835  4 Tm 3.16-3.45, 3 Y 3.26-3.42, 2 Tb 3.41-3.48
Tm11 0.9330 0.4807 0.8169  2 Tm 3.16-3.52, 1 Y 3.38, 1 Tb 3.45, 1 Sm 3.52
Tm12 0.9871 0.2093 0.6165  4 Tm 3.16-3.45, 3 Y 3.26-3.42, 2 Tb 3.41-3.48

2.
DFT (PBE) results for a relaxed Tb2SmY2Tm crystal.

Properties
electronic total energy	-4.94	eV per atom
space group	Pnnm
calculated volume	396	Å³/cell
formation energy from the elements	0.29	eV/atom

a b c (Å): 6.6577 17.6235 3.3729
angles (deg): 90.00 90.00 90.00
Closest atoms and distances in Å follow each position.
Atoms (fractional coordinates):
Tb1 0.2400 0.1778 0.0000  4 Y 3.34-3.46, 2 Tb 3.37, 1 Tm 3.52
Tb2 0.2600 0.6778 0.5000  4 Y 3.34-3.46, 2 Tb 3.37, 1 Tm 3.52
Tb3 0.7400 0.3222 0.5000  4 Y 3.34-3.46, 2 Tb 3.37, 1 Tm 3.52
Tb4 0.7600 0.8222 0.0000  4 Y 3.34-3.46, 2 Tb 3.37, 1 Tm 3.52
Sm1 0.0000 0.5000 0.0000  2 Sm 3.37, 4 Y 3.52, 4 Tm 3.73
Sm2 0.5000 0.0000 0.5000  2 Sm 3.37, 4 Y 3.52, 4 Tm 3.73
Y1 0.2371 0.3491 0.5000  1 Tm 3.18, 4 Tb 3.34-3.46, 2 Y 3.37, 2 Sm 3.52
Y2 0.2629 0.8491 0.0000  1 Tm 3.18, 4 Tb 3.34-3.46, 2 Y 3.37, 2 Sm 3.52
Y3 0.7371 0.1509 0.0000  1 Tm 3.18, 4 Tb 3.34-3.46, 2 Y 3.37, 2 Sm 3.52
Y4 0.7629 0.6509 0.5000  1 Tm 3.18, 4 Tb 3.34-3.46, 2 Y 3.37, 2 Sm 3.52
Tm1 0.0000 0.0000 0.0000  2 Y 3.18, 2 Tm 3.37, 2 Tb 3.52
Tm2 0.5000 0.5000 0.5000  2 Y 3.18, 2 Tm 3.37, 2 Tb 3.52

3.
DFT (PBE) results for a relaxed TbSmY2Tm crystal.

Properties
electronic total energy	-4.94	eV per atom
space group	Cmcm
calculated volume	347	Å³/cell
formation energy from the elements	0.41	eV/atom

a b c (Å): 7.0926 7.0926 7.2147
angles (deg): 90.00 90.00 107.28
Closest atoms and distances in Å follow each position.
Atoms (fractional coordinates):
Tb1 0.0034 0.9966 0.7500  1 Sm 3.07, 4 Y 3.17, 1 Tm 3.19
Tb2 0.9966 0.0034 0.2500  1 Sm 3.07, 4 Y 3.17, 1 Tm 3.19
Sm1 0.2725 0.7275 0.7500  1 Tb 3.07
Sm2 0.7275 0.2725 0.2500  1 Tb 3.07
Y1 0.3099 0.3099 0.0000  2 Tb 3.17, 1 Y 3.20, 2 Tm 3.52, 2 Sm 3.54
Y2 0.3099 0.3099 0.5000  2 Tb 3.17, 1 Y 3.20, 2 Tm 3.52, 2 Sm 3.54
Y3 0.6901 0.6901 0.0000  2 Tb 3.17, 1 Y 3.20, 2 Tm 3.52, 2 Sm 3.54
Y4 0.6901 0.6901 0.5000  2 Tb 3.17, 1 Y 3.20, 2 Tm 3.52, 2 Sm 3.54
Tm1 0.2756 0.7244 0.2500  1 Tb 3.19, 4 Y 3.52
Tm2 0.7244 0.2756 0.7500  1 Tb 3.19, 4 Y 3.52

4.
DFT (PBE) results for a relaxed TbSmYTm crystal.

Properties
relative energy among the computed polymorphs	0.1144	eV/atom
electronic total energy	-4.94	eV per atom
space group	F-43m
calculated volume	130	Å³/cell
formation energy from the elements	0.14	eV/atom

a b c (Å): 5.6833 5.6833 5.6833
angles (deg): 60.00 60.00 60.00
Closest atoms and distances in Å follow each position.
Atoms (fractional coordinates):
Tb1 0.0000 0.0000 0.0000  4 Sm 3.48, 4 Y 3.48
Sm1 0.2500 0.2500 0.2500  4 Tm 3.48, 4 Tb 3.48
Y1 0.7500 0.7500 0.7500  4 Tm 3.48, 4 Tb 3.48
Tm1 0.5000 0.5000 0.5000  4 Sm 3.48, 4 Y 3.48

5.
DFT (PBE) results for a relaxed Tb6SmY3Tm2 crystal.

Properties
electronic total energy	-5.05	eV per atom
space group	C2/m
calculated volume	381	Å³/cell
formation energy from the elements	0.02	eV/atom

a b c (Å): 6.1572 6.1572 11.7844
angles (deg): 94.97 94.97 119.94
Closest atoms and distances in Å follow each position.
Atoms (fractional coordinates):
Tb1 0.0830 0.4169 0.7511  2 Tm 3.54, 1 Sm 3.55, 6 Tb 3.55-3.56, 3 Y 3.56-3.57
Tb2 0.2490 0.2490 0.2487  1 Sm 3.54, 2 Tm 3.54, 6 Tb 3.55-3.56, 3 Y 3.56-3.57
Tb3 0.4169 0.0830 0.7511  2 Tm 3.54, 1 Sm 3.55, 6 Tb 3.55-3.56, 3 Y 3.56-3.57
Tb4 0.5831 0.9170 0.2489  2 Tm 3.54, 1 Sm 3.55, 6 Tb 3.55-3.56, 3 Y 3.56-3.57
Tb5 0.7510 0.7510 0.7513  1 Sm 3.54, 2 Tm 3.54, 6 Tb 3.55-3.56, 3 Y 3.56-3.57
Tb6 0.9170 0.5831 0.2489  2 Tm 3.54, 1 Sm 3.55, 6 Tb 3.55-3.56, 3 Y 3.56-3.57
Sm1 0.5000 0.5000 0.0000  6 Tb 3.54-3.55, 6 Tm 3.55-3.56
Y1 0.0000 0.0000 0.5000  6 Y 3.55-3.56, 6 Tb 3.56-3.57
Y2 0.3331 0.6669 0.5000  6 Y 3.55-3.56, 6 Tb 3.56-3.57
Y3 0.6669 0.3331 0.5000  6 Y 3.55-3.56, 6 Tb 3.56-3.57
Tm1 0.1668 0.8332 0.0000  6 Tb 3.54, 3 Sm 3.55-3.56, 3 Tm 3.56
Tm2 0.8332 0.1668 0.0000  6 Tb 3.54, 3 Sm 3.55-3.56, 3 Tm 3.56

6.
DFT (PBE) results for a relaxed Tb3SmY2Tm6 crystal.

Properties
electronic total energy	-4.84	eV per atom
space group	C2/m
calculated volume	373	Å³/cell
formation energy from the elements	0.02	eV/atom

a b c (Å): 6.1170 6.1170 11.6794
angles (deg): 95.00 95.00 119.95
Closest atoms and distances in Å follow each position.
Atoms (fractional coordinates):
Tb1 0.0000 0.0000 0.0000  6 Tm 3.51-3.52, 6 Tb 3.53
Tb2 0.3331 0.6669 0.0000  6 Tm 3.51-3.52, 6 Tb 3.53-3.54
Tb3 0.6669 0.3331 0.0000  6 Tm 3.51-3.52, 6 Tb 3.53-3.54
Sm1 0.5000 0.5000 0.5000  6 Y 3.53, 6 Tm 3.53-3.54
Y1 0.1667 0.8333 0.5000  3 Sm 3.53, 3 Y 3.53, 6 Tm 3.54
Y2 0.8333 0.1667 0.5000  3 Sm 3.53, 3 Y 3.53, 6 Tm 3.54
Tm1 0.0830 0.4160 0.2488  3 Tb 3.51, 6 Tm 3.53-3.54, 2 Y 3.54, 1 Sm 3.54
Tm2 0.2509 0.2509 0.7511  3 Tb 3.52, 6 Tm 3.53, 1 Sm 3.53, 2 Y 3.54
Tm3 0.4160 0.0830 0.2488  3 Tb 3.51, 6 Tm 3.53-3.54, 2 Y 3.54, 1 Sm 3.54
Tm4 0.5840 0.9170 0.7512  3 Tb 3.51, 6 Tm 3.53-3.54, 2 Y 3.54, 1 Sm 3.54
Tm5 0.7491 0.7491 0.2489  3 Tb 3.52, 6 Tm 3.53, 1 Sm 3.53, 2 Y 3.54
Tm6 0.9170 0.5840 0.7512  3 Tb 3.51, 6 Tm 3.53-3.54, 2 Y 3.54, 1 Sm 3.54

7.
DFT (PBE) results for a relaxed Tb2SmY2Tm2 crystal.

Properties
electronic total energy	-5.10	eV per atom
space group	C2/m
calculated volume	222	Å³/cell
formation energy from the elements	0.02	eV/atom

a b c (Å): 6.1615 6.1615 7.9451
angles (deg): 97.51 97.51 48.07
Closest atoms and distances in Å follow each position.
Atoms (fractional coordinates):
Tb1 0.0718 0.0718 0.2117  1 Tb 3.52, 5 Tm 3.53-3.56, 4 Y 3.55-3.59, 2 Sm 3.57
Tb2 0.9282 0.9282 0.7883  1 Tb 3.52, 5 Tm 3.53-3.56, 4 Y 3.55-3.59, 2 Sm 3.57
Sm1 0.5000 0.5000 0.5000  6 Y 3.55-3.58, 2 Tm 3.56, 4 Tb 3.57
Y1 0.2135 0.2135 0.6456  3 Tm 3.53-3.55, 3 Sm 3.55-3.58, 4 Tb 3.55-3.59, 2 Y 3.59
Y2 0.7865 0.7865 0.3544  3 Tm 3.53-3.55, 3 Sm 3.55-3.58, 4 Tb 3.55-3.59, 2 Y 3.59
Tm1 0.3578 0.3578 0.0698  3 Y 3.53-3.55, 5 Tb 3.53-3.56, 3 Tm 3.53-3.56, 1 Sm 3.56
Tm2 0.6422 0.6422 0.9302  3 Y 3.53-3.55, 5 Tb 3.53-3.56, 3 Tm 3.53-3.56, 1 Sm 3.56

8.
DFT (PBE) results for a relaxed Tb2Sm3YTm6 crystal.

Properties
electronic total energy	-4.70	eV per atom
space group	C2/m
calculated volume	376	Å³/cell
formation energy from the elements	0.02	eV/atom

a b c (Å): 6.1418 6.1418 11.6809
angles (deg): 95.01 95.01 119.96
Closest atoms and distances in Å follow each position.
Atoms (fractional coordinates):
Tb1 0.1666 0.8334 0.0000  6 Tm 3.51-3.52, 3 Tb 3.54-3.55, 3 Y 3.55
Tb2 0.8334 0.1666 0.0000  6 Tm 3.51-3.52, 3 Tb 3.54-3.55, 3 Y 3.55
Sm1 0.0000 0.0000 0.5000  6 Tm 3.54, 6 Sm 3.55
Sm2 0.3335 0.6665 0.5000  6 Tm 3.54-3.55, 6 Sm 3.54-3.55
Sm3 0.6665 0.3335 0.5000  6 Tm 3.54-3.55, 6 Sm 3.54-3.55
Y1 0.5000 0.5000 0.0000  6 Tm 3.52, 6 Tb 3.55
Tm1 0.0827 0.4168 0.7515  2 Tb 3.51-3.52, 1 Y 3.52, 3 Sm 3.54-3.55, 6 Tm 3.54-3.55
Tm2 0.2492 0.2492 0.2485  2 Tb 3.52, 1 Y 3.52, 6 Tm 3.54-3.55, 3 Sm 3.54
Tm3 0.4168 0.0827 0.7515  2 Tb 3.51-3.52, 1 Y 3.52, 3 Sm 3.54-3.55, 6 Tm 3.54-3.55
Tm4 0.5832 0.9173 0.2485  2 Tb 3.51-3.52, 1 Y 3.52, 3 Sm 3.54-3.55, 6 Tm 3.54-3.55
Tm5 0.7508 0.7508 0.7515  2 Tb 3.52, 1 Y 3.52, 6 Tm 3.54-3.55, 3 Sm 3.54
Tm6 0.9173 0.5832 0.2485  2 Tb 3.51-3.52, 1 Y 3.52, 3 Sm 3.54-3.55, 6 Tm 3.54-3.55

9.
DFT (PBE) results for a relaxed TbSm6Y2Tm crystal.

Properties
electronic total energy	-4.91	eV per atom
space group	C2/c
calculated volume	667	Å³/cell
formation energy from the elements	0.12	eV/atom

a b c (Å): 8.8978 8.8978 9.5523
angles (deg): 93.46 93.46 117.44
Closest atoms and distances in Å follow each position.
Atoms (fractional coordinates):
Tb1 0.0282 0.9718 0.7500  4 Y 3.41-3.46, 6 Sm 3.57-3.81
Tb2 0.9718 0.0282 0.2500  4 Y 3.41-3.46, 6 Sm 3.57-3.81
Sm1 0.0112 0.5645 0.6872  2 Sm 3.24-3.63, 1 Y 3.46, 1 Tm 3.46, 1 Tb 3.57
Sm2 0.1197 0.7598 0.0558  7 Sm 3.45-3.75, 1 Y 3.51, 2 Tb 3.68-3.81
Sm3 0.2402 0.8803 0.4442  7 Sm 3.45-3.75, 1 Y 3.51, 2 Tb 3.68-3.81
Sm4 0.2916 0.5127 0.8823  4 Sm 3.24-3.59, 3 Y 3.29-3.47, 2 Tm 3.45-3.54
Sm5 0.4355 0.9888 0.8128  2 Sm 3.24-3.63, 1 Y 3.46, 1 Tm 3.46, 1 Tb 3.57
Sm6 0.4873 0.7084 0.6177  4 Sm 3.24-3.59, 3 Y 3.29-3.47, 2 Tm 3.45-3.54
Sm7 0.5127 0.2916 0.3823  4 Sm 3.24-3.59, 3 Y 3.29-3.47, 2 Tm 3.45-3.54
Sm8 0.5645 0.0112 0.1872  2 Sm 3.24-3.63, 1 Y 3.46, 1 Tm 3.46, 1 Tb 3.57
Sm9 0.7084 0.4873 0.1177  4 Sm 3.24-3.59, 3 Y 3.29-3.47, 2 Tm 3.45-3.54
Sm10 0.7598 0.1197 0.5558  7 Sm 3.45-3.75, 1 Y 3.51, 2 Tb 3.68-3.81
Sm11 0.8803 0.2402 0.9442  7 Sm 3.45-3.75, 1 Y 3.51, 2 Tb 3.68-3.81
Sm12 0.9888 0.4355 0.3128  2 Sm 3.24-3.63, 1 Y 3.46, 1 Tm 3.46, 1 Tb 3.57
Y1 0.2023 0.3008 0.5465  5 Sm 3.29-3.51, 2 Tb 3.41-3.46, 1 Tm 3.53
Y2 0.3008 0.2023 0.0465  5 Sm 3.29-3.51, 2 Tb 3.41-3.46, 1 Tm 3.53
Y3 0.6992 0.7977 0.9535  5 Sm 3.29-3.51, 2 Tb 3.41-3.46, 1 Tm 3.53
Y4 0.7977 0.6992 0.4535  5 Sm 3.29-3.51, 2 Tb 3.41-3.46, 1 Tm 3.53
Tm1 0.4106 0.5894 0.2500  6 Sm 3.45-3.54, 2 Y 3.53
Tm2 0.5894 0.4106 0.7500  6 Sm 3.45-3.54, 2 Y 3.53

10.
DFT (PBE) results for a relaxed Tb6SmY2Tm crystal.

Properties
electronic total energy	-4.87	eV per atom
space group	C2/c
calculated volume	650	Å³/cell
formation energy from the elements	0.12	eV/atom

a b c (Å): 8.8096 8.8096 9.4885
angles (deg): 93.33 93.33 117.39
Closest atoms and distances in Å follow each position.
Atoms (fractional coordinates):
Tb1 0.0137 0.5643 0.1854  2 Tb 3.21-3.58, 1 Y 3.41, 1 Tm 3.45, 1 Sm 3.56
Tb2 0.1225 0.7547 0.5568  7 Tb 3.42-3.71, 1 Y 3.51, 1 Sm 3.68
Tb3 0.2453 0.8775 0.9432  7 Tb 3.42-3.71, 1 Y 3.51, 1 Sm 3.68
Tb4 0.2914 0.5127 0.3825  4 Tb 3.21-3.51, 3 Y 3.27-3.44, 2 Tm 3.43-3.52
Tb5 0.4357 0.9863 0.3146  2 Tb 3.21-3.58, 1 Y 3.41, 1 Tm 3.45, 1 Sm 3.56
Tb6 0.4873 0.7086 0.1175  4 Tb 3.21-3.51, 3 Y 3.27-3.44, 2 Tm 3.43-3.52
Tb7 0.5127 0.2914 0.8825  4 Tb 3.21-3.51, 3 Y 3.27-3.44, 2 Tm 3.43-3.52
Tb8 0.5643 0.0137 0.6854  2 Tb 3.21-3.58, 1 Y 3.41, 1 Tm 3.45, 1 Sm 3.56
Tb9 0.7086 0.4873 0.6175  4 Tb 3.21-3.51, 3 Y 3.27-3.44, 2 Tm 3.43-3.52
Tb10 0.7547 0.1225 0.0568  7 Tb 3.42-3.71, 1 Y 3.51, 1 Sm 3.68
Tb11 0.8775 0.2453 0.4432  7 Tb 3.42-3.71, 1 Y 3.51, 1 Sm 3.68
Tb12 0.9863 0.4357 0.8146  2 Tb 3.21-3.58, 1 Y 3.41, 1 Tm 3.45, 1 Sm 3.56
Sm1 0.0274 0.9726 0.2500  4 Y 3.38-3.46, 4 Tb 3.56-3.68
Sm2 0.9726 0.0274 0.7500  4 Y 3.38-3.46, 4 Tb 3.56-3.68
Y1 0.2017 0.3037 0.0470  6 Tb 3.27-3.62, 2 Sm 3.38-3.46, 1 Tm 3.51
Y2 0.3037 0.2017 0.5470  6 Tb 3.27-3.62, 2 Sm 3.38-3.46, 1 Tm 3.51
Y3 0.6963 0.7983 0.4530  6 Tb 3.27-3.62, 2 Sm 3.38-3.46, 1 Tm 3.51
Y4 0.7983 0.6963 0.9530  6 Tb 3.27-3.62, 2 Sm 3.38-3.46, 1 Tm 3.51
Tm1 0.4103 0.5897 0.7500  6 Tb 3.43-3.52, 2 Y 3.51
Tm2 0.5897 0.4103 0.2500  6 Tb 3.43-3.52, 2 Y 3.51

11.
DFT (PBE) results for a relaxed Tb3SmY6Tm2 crystal.

Properties
electronic total energy	-5.51	eV per atom
space group	C2/m
calculated volume	382	Å³/cell
formation energy from the elements	0.02	eV/atom

a b c (Å): 6.1615 6.1615 11.7968
angles (deg): 94.97 94.97 119.95
Closest atoms and distances in Å follow each position.
Atoms (fractional coordinates):
Tb1 0.0000 0.0000 0.0000  6 Tb 3.55-3.56, 6 Y 3.56
Tb2 0.3330 0.6670 0.0000  6 Tb 3.55-3.56, 6 Y 3.56-3.57
Tb3 0.6670 0.3330 0.0000  6 Tb 3.55-3.56, 6 Y 3.56-3.57
Sm1 0.5000 0.5000 0.5000  6 Y 3.55-3.56, 6 Tm 3.56
Y1 0.0825 0.4164 0.2506  2 Tm 3.55, 6 Y 3.55-3.57, 1 Sm 3.56, 3 Tb 3.56
Y2 0.2496 0.2496 0.7494  1 Sm 3.55, 2 Tm 3.55, 6 Y 3.55-3.57, 3 Tb 3.56-3.57
Y3 0.4164 0.0825 0.2506  2 Tm 3.55, 6 Y 3.55-3.57, 1 Sm 3.56, 3 Tb 3.56
Y4 0.5836 0.9175 0.7494  2 Tm 3.55, 6 Y 3.55-3.57, 1 Sm 3.56, 3 Tb 3.56
Y5 0.7504 0.7504 0.2506  1 Sm 3.55, 2 Tm 3.55, 6 Y 3.55-3.57, 3 Tb 3.56-3.57
Y6 0.9175 0.5836 0.7494  2 Tm 3.55, 6 Y 3.55-3.57, 1 Sm 3.56, 3 Tb 3.56
Tm1 0.1667 0.8333 0.5000  6 Y 3.55, 3 Sm 3.56, 3 Tm 3.56
Tm2 0.8333 0.1667 0.5000  6 Y 3.55, 3 Sm 3.56, 3 Tm 3.56

12.
DFT (PBE) results for a relaxed Tb2Sm6YTm3 crystal.

Properties
electronic total energy	-4.77	eV per atom
space group	C2/m
calculated volume	387	Å³/cell
formation energy from the elements	0.02	eV/atom

a b c (Å): 6.2077 6.2077 11.7808
angles (deg): 95.02 95.02 119.98
Closest atoms and distances in Å follow each position.
Atoms (fractional coordinates):
Tb1 0.1666 0.8334 0.0000  6 Sm 3.58-3.59, 3 Tb 3.58-3.59, 3 Y 3.58
Tb2 0.8334 0.1666 0.0000  6 Sm 3.58-3.59, 3 Tb 3.58-3.59, 3 Y 3.58
Sm1 0.0814 0.4154 0.7479  3 Tm 3.54, 2 Tb 3.58, 6 Sm 3.58-3.59, 1 Y 3.59
Sm2 0.2507 0.2507 0.2524  3 Tm 3.54, 6 Sm 3.58-3.59, 1 Y 3.58, 2 Tb 3.59
Sm3 0.4154 0.0814 0.7479  3 Tm 3.54, 2 Tb 3.58, 6 Sm 3.58-3.59, 1 Y 3.59
Sm4 0.5846 0.9186 0.2521  3 Tm 3.54, 2 Tb 3.58, 6 Sm 3.58-3.59, 1 Y 3.59
Sm5 0.7493 0.7493 0.7476  3 Tm 3.54, 6 Sm 3.58-3.59, 1 Y 3.58, 2 Tb 3.59
Sm6 0.9186 0.5846 0.2521  3 Tm 3.54, 2 Tb 3.58, 6 Sm 3.58-3.59, 1 Y 3.59
Y1 0.5000 0.5000 0.0000  6 Tb 3.58, 6 Sm 3.58-3.59
Tm1 0.0000 0.0000 0.5000  6 Sm 3.54, 6 Tm 3.58
Tm2 0.3333 0.6667 0.5000  6 Sm 3.54, 6 Tm 3.58
Tm3 0.6667 0.3333 0.5000  6 Sm 3.54, 6 Tm 3.58